(1)
A geometry-optimized CeScPaIn structure, computed with PBE.

Properties
space-group type	No. 216
volume	100	Å³ per cell
magnetization	1.778	μB/f.u.
electronic total energy	-6.064	eV/atom
ΔH_f (0 K)	0.0611	eV per atom

a = 5.2151 Å, b = 5.2151 Å, c = 5.2151 Å
α = 60.00°, β = 60.00°, γ = 60.00°
With the nearest neighbours (Å) after each atom.
Sites, in units of the cell vectors:
Ce 0.0000 0.0000 0.0000  4 In 3.19, 4 Pa 3.19
Sc 0.5000 0.5000 0.5000  4 In 3.19, 4 Pa 3.19
Pa 0.7500 0.7500 0.7500  4 Ce 3.19, 4 Sc 3.19
In 0.2500 0.2500 0.2500  4 Ce 3.19, 4 Sc 3.19



(2)
A geometry-optimized TbCePaIn structure, computed with PBE.

Properties
space-group type	No. 216
volume	108	Å³ per cell
magnetization	1.990	μB/f.u.
electronic total energy	-5.603	eV/atom
ΔH_f (0 K)	0.0971	eV per atom

a = 5.3505 Å, b = 5.3505 Å, c = 5.3505 Å
α = 60.00°, β = 60.00°, γ = 60.00°
With the nearest neighbours (Å) after each atom.
Sites, in units of the cell vectors:
Tb 0.0000 0.0000 0.0000  4 In 3.28, 4 Pa 3.28
Ce 0.5000 0.5000 0.5000  4 In 3.28, 4 Pa 3.28
Pa 0.7500 0.7500 0.7500  4 Tb 3.28, 4 Ce 3.28
In 0.2500 0.2500 0.2500  4 Tb 3.28, 4 Ce 3.28



(3)
A geometry-optimized CePaInTc structure, computed with PBE.

Properties
space-group type	No. 99
volume	94	Å³ per cell
magnetization	0.000	μB/f.u.
electronic total energy	-7.353	eV/atom
ΔH_f (0 K)	-0.2190	eV per atom

a = 3.2689 Å, b = 3.2689 Å, c = 8.7943 Å
α = 90.00°, β = 90.00°, γ = 90.00°
With the nearest neighbours (Å) after each atom.
Sites, in units of the cell vectors:
Ce 0.0000 0.0000 0.0000  4 Tc 3.01, 4 Ce 3.27
Pa 0.0000 0.0000 0.5856  4 Tc 2.87
In 0.5000 0.5000 0.2942  4 In 3.27, 4 Pa 3.45, 4 Ce 3.47
Tc 0.5000 0.5000 0.7799  4 Pa 2.87, 4 Ce 3.01



(4)
A geometry-optimized CeThPaIn structure, computed with PBE.

Properties
space-group type	No. 216
volume	112	Å³ per cell
magnetization	2.380	μB/f.u.
electronic total energy	-6.290	eV/atom
ΔH_f (0 K)	0.1066	eV per atom

a = 5.4119 Å, b = 5.4119 Å, c = 5.4119 Å
α = 60.00°, β = 60.00°, γ = 60.00°
With the nearest neighbours (Å) after each atom.
Sites, in units of the cell vectors:
Ce 0.0000 0.0000 0.0000  4 In 3.31, 4 Pa 3.31
Th 0.5000 0.5000 0.5000  4 Pa 3.31, 4 In 3.31
Pa 0.7500 0.7500 0.7500  4 Ce 3.31, 4 Th 3.31
In 0.2500 0.2500 0.2500  4 Th 3.31, 4 Ce 3.31



(5)
A geometry-optimized CeYPaIn structure, computed with PBE.

Properties
space-group type	No. 216
volume	107	Å³ per cell
magnetization	2.138	μB/f.u.
electronic total energy	-6.048	eV/atom
ΔH_f (0 K)	0.1104	eV per atom

a = 5.3273 Å, b = 5.3273 Å, c = 5.3273 Å
α = 60.00°, β = 60.00°, γ = 60.00°
With the nearest neighbours (Å) after each atom.
Sites, in units of the cell vectors:
Ce 0.0000 0.0000 0.0000  4 Pa 3.26, 4 Y 3.26
Y 0.7500 0.7500 0.7500  4 In 3.26, 4 Ce 3.26
Pa 0.2500 0.2500 0.2500  4 In 3.26, 4 Ce 3.26
In 0.5000 0.5000 0.5000  4 Pa 3.26, 4 Y 3.26



(6)
A geometry-optimized CePaZnIn structure, computed with PBE.

Properties
space-group type	No. 216
volume	101	Å³ per cell
magnetization	1.646	μB/f.u.
electronic total energy	-4.813	eV/atom
ΔH_f (0 K)	0.0480	eV per atom

a = 5.2302 Å, b = 5.2302 Å, c = 5.2302 Å
α = 60.00°, β = 60.00°, γ = 60.00°
With the nearest neighbours (Å) after each atom.
Sites, in units of the cell vectors:
Ce 0.0000 0.0000 0.0000  4 In 3.20, 4 Zn 3.20
Pa 0.5000 0.5000 0.5000  4 In 3.20, 4 Zn 3.20
Zn 0.2500 0.2500 0.2500  4 Ce 3.20, 4 Pa 3.20
In 0.7500 0.7500 0.7500  4 Ce 3.20, 4 Pa 3.20



(7)
A geometry-optimized Ce3InPb3 structure, computed with PBE.

Properties
space-group type	No. 176
volume	411	Å³ per cell
magnetization	3.928	μB/f.u.
electronic total energy	-4.744	eV/atom
ΔH_f (0 K)	-0.2208	eV per atom

a = 8.9759 Å, b = 8.9759 Å, c = 5.8938 Å
α = 90.00°, β = 90.00°, γ = 120.00°
With the nearest neighbours (Å) after each atom.
Sites, in units of the cell vectors:
Ce 0.1030 0.4649 0.2500  5 Pb 3.25-3.50, 2 Ce 3.38, 3 In 3.48-3.53
Ce 0.3619 0.8970 0.2500  5 Pb 3.25-3.50, 2 Ce 3.38, 3 In 3.48-3.53
Ce 0.4649 0.3619 0.7500  5 Pb 3.25-3.50, 2 Ce 3.38, 3 In 3.48-3.53
Ce 0.5351 0.6381 0.2500  5 Pb 3.25-3.50, 2 Ce 3.38, 3 In 3.48-3.53
Ce 0.6381 0.1030 0.7500  5 Pb 3.25-3.50, 2 Ce 3.38, 3 In 3.48-3.53
Ce 0.8970 0.5351 0.7500  5 Pb 3.25-3.50, 2 Ce 3.38, 3 In 3.48-3.53
In 0.3333 0.6667 0.7500  3 Pb 3.26, 9 Ce 3.48-3.53
In 0.6667 0.3333 0.2500  3 Pb 3.26, 9 Ce 3.48-3.53
Pb 0.0607 0.2538 0.7500  5 Ce 3.25-3.50, 1 In 3.26, 6 Pb 3.57-3.60
Pb 0.1931 0.9393 0.7500  5 Ce 3.25-3.50, 1 In 3.26, 6 Pb 3.57-3.60
Pb 0.2538 0.1931 0.2500  5 Ce 3.25-3.50, 1 In 3.26, 6 Pb 3.57-3.60
Pb 0.7462 0.8069 0.7500  5 Ce 3.25-3.50, 1 In 3.26, 6 Pb 3.57-3.60
Pb 0.8069 0.0607 0.2500  5 Ce 3.25-3.50, 1 In 3.26, 6 Pb 3.57-3.60
Pb 0.9393 0.7462 0.2500  5 Ce 3.25-3.50, 1 In 3.26, 6 Pb 3.57-3.60



(8)
A geometry-optimized Ce5In2Pb structure, computed with PBE.

Properties
space-group type	No. 139
volume	228	Å³ per cell
magnetization	6.050	μB/f.u.
electronic total energy	-5.096	eV/atom
ΔH_f (0 K)	-0.2390	eV per atom
energy above the most stable polymorph in this dataset	0.000	eV per atom

a = 6.6916 Å, b = 6.6916 Å, c = 6.6916 Å
α = 106.03°, β = 106.03°, γ = 116.60°
With the nearest neighbours (Å) after each atom.
Sites, in units of the cell vectors:
Ce 0.0000 0.0000 0.0000  8 Ce 3.35, 2 Pb 3.52
Ce 0.0000 0.0000 0.5000  4 In 3.35, 2 Pb 3.35, 4 Ce 3.35-3.52
Ce 0.0000 0.5000 0.0000  4 In 3.35, 2 Pb 3.35, 4 Ce 3.35-3.52
Ce 0.5000 0.0000 0.0000  4 In 3.35, 4 Ce 3.35-3.52, 2 Pb 3.35
Ce 0.5000 0.5000 0.5000  4 In 3.35, 2 Pb 3.35, 4 Ce 3.35-3.52
In 0.0000 0.5000 0.5000  8 Ce 3.35, 2 In 3.52
In 0.5000 0.0000 0.5000  8 Ce 3.35, 2 In 3.52
Pb 0.5000 0.5000 0.0000  10 Ce 3.35-3.52